# 1
Density functional theory data (PBE) for an optimized crystal structure of PmBiN2O.

```
PmBiN2O
1.0
6.0499 0.0000 0.0000
-3.0249 5.2393 0.0000
0.0000 0.0000 14.9253
O Bi Pm N
6 6 6 12
Cartesian
-1.3957 2.6871 11.1940 O
1.6293 2.5522 3.7313 O
4.4206 2.5522 3.7313 O
0.0000 5.1045 11.1940 O
1.3957 2.6871 11.1940 O
3.0249 0.1349 3.7313 O
0.0000 3.4929 5.3882 Bi
0.0000 3.4929 2.0744 Bi
3.0249 1.7464 9.5371 Bi
3.0249 1.7464 12.8509 Bi
0.0000 0.0000 0.0000 Bi
0.0000 0.0000 7.4627 Bi
0.0000 0.0000 11.1940 Pm
3.0249 1.7464 2.0440 Pm
3.0249 1.7464 5.4187 Pm
0.0000 3.4929 9.5066 Pm
0.0000 0.0000 3.7313 Pm
0.0000 3.4929 12.8814 Pm
1.2937 0.7469 13.3303 N
4.7562 0.7469 13.3303 N
4.7562 0.7469 9.0577 N
0.0000 1.4938 1.5950 N
1.2937 0.7469 9.0577 N
-1.7312 4.4924 1.5950 N
-1.7312 4.4924 5.8677 N
1.7312 4.4924 1.5950 N
1.7312 4.4924 5.8677 N
3.0249 3.7455 9.0577 N
0.0000 1.4938 5.8677 N
3.0249 3.7455 13.3303 N
```

Values from the calculation:
- E: -189.79 eV per cell


# 2
Density functional theory data (PBE) for an optimized crystal structure of Nd2Y2CBr2Cl3.

```
Nd2Y2CBr2Cl3
1.0
8.7175 -1.9301 0.0000
8.7175 1.9301 0.0000
-1.7382 0.0000 7.9667
C Nd Cl Y Br
1 2 3 2 2
Cartesian
8.7175 0.0000 0.0000 C
17.0040 0.0000 1.6937 Nd
-1.3071 0.0000 6.2729 Nd
1.5715 0.0000 6.8106 Cl
7.8484 0.0000 3.9833 Cl
14.1254 0.0000 1.1561 Cl
11.0582 0.0000 0.5875 Y
4.6387 0.0000 7.3792 Y
2.3876 0.0000 2.6980 Br
13.3093 0.0000 5.2687 Br
```

Values from the calculation:
- E: -56.50 eV per cell
- ΔE to the lowest computed polymorph: 1 meV/atom


# 3
Density functional theory data (PBE) for an optimized crystal structure of Y3InSn2PdPt2.

```
Y3InSn2PdPt2
1.0
3.8466 0.0000 0.0000
0.0000 6.6818 3.8373
0.0000 -6.6818 3.8373
Sn Pt Pd Y In
2 2 1 3 1
Cartesian
0.0000 4.9329 2.8468 Sn
0.0000 -4.9329 2.8468 Sn
0.0000 -2.2342 3.8468 Pt
0.0000 2.2342 3.8468 Pt
1.9233 0.0000 7.6290 Pd
1.9233 -2.7061 1.5744 Y
1.9233 2.7061 1.5744 Y
1.9233 0.0000 4.5289 Y
0.0000 0.0000 2.0046 In
```

Values from the calculation:
- E: -56.67 eV per cell


# 4
Density functional theory data (PBE) for an optimized crystal structure of Sm3AsBrCl2.

```
Sm3AsBrCl2
1.0
5.8239 0.0000 0.0000
0.0000 5.8239 0.0000
0.0000 0.0000 5.7338
As Cl Sm Br
1 2 3 1
Cartesian
0.0000 0.0000 0.0000 As
0.0000 2.9119 2.8669 Cl
2.9119 0.0000 2.8669 Cl
2.9119 0.0000 0.0000 Sm
0.0000 2.9119 0.0000 Sm
0.0000 0.0000 2.8669 Sm
2.9119 2.9119 0.0000 Br
```

Values from the calculation:
- E: -35.29 eV per cell


# 5
Density functional theory data (PBE) for an optimized crystal structure of TlAuF4.

```
TlAuF4
1.0
-5.0283 1.8240 -2.0632
-2.0312 -4.4938 0.9774
0.5554 1.0861 6.1476
F Au Tl
8 2 2
Cartesian
-2.8638 -1.2273 4.6744 F
-2.8716 1.2731 3.2248 F
-3.6403 -0.3563 0.3873 F
-5.4524 -0.6748 2.5450 F
-3.6325 -2.8567 1.8370 F
-0.3944 0.4740 5.4079 F
-1.0517 -0.9089 2.5168 F
-6.1097 -2.0576 -0.3461 F
-1.0156 -2.2469 0.4887 Au
0.2777 0.5430 3.0738 Au
-2.5142 0.9120 -1.0316 Tl
-3.2520 -0.7918 2.5309 Tl
```

Values from the calculation:
- E: -40.86 eV per cell


# 6
Density functional theory data (PBE) for an optimized crystal structure of NaOsPb.

```
NaOsPb
1.0
0.0000 3.2594 3.2594
3.2594 0.0000 3.2594
3.2594 3.2594 0.0000
Pb Os Na
1 1 1
Cartesian
4.8890 4.8890 4.8890 Pb
0.0000 0.0000 0.0000 Os
1.6297 1.6297 1.6297 Na
```

Values from the calculation:
- E: -13.27 eV per cell
- ΔE to the lowest computed polymorph: 0 meV/atom


# 7
Density functional theory data (PBE) for an optimized crystal structure of RbMgNbPd.

```
RbMgNbPd
1.0
0.5006 -1.3621 4.9097
1.9547 3.3046 3.3869
-3.0189 2.1025 3.5605
Mg Rb Nb Pd
1 1 1 1
Cartesian
-0.4228 3.0337 8.8928 Mg
-0.1409 1.0112 2.9643 Rb
-0.2818 2.0225 5.9285 Nb
0.0000 0.0000 0.0000 Pd
```

Values from the calculation:
- E: -13.63 eV per cell
- ΔE to the lowest computed polymorph: 186 meV/atom


# 8
Density functional theory data (PBE) for an optimized crystal structure of HfSnB4.

```
HfSnB4
1.0
-1.5604 2.6511 3.9144
1.5604 -2.6511 3.9144
1.5604 2.6511 -3.9144
B Sn Hf
4 1 1
Cartesian
0.0000 1.7659 1.9802 B
0.0000 3.5364 1.9802 B
1.5605 0.8853 1.9342 B
1.5604 -0.8853 1.9342 B
0.0000 0.0000 3.9144 Sn
0.0000 0.0000 0.0000 Hf
```

Values from the calculation:
- E: -40.87 eV per cell
- ΔE to the lowest computed polymorph: 155 meV/atom